# 1
Here is crystalline Sc2Ge2Pt at its relaxed geometry from Alexandria via LeMat-Bulk. Energies are from GGA-PBE.

For the uncorrected energy, the calculation gives -65.4 eV for the cell shown. The value obtained for the energy of formation is -4.8 eV/f.u. Its theoretical density is 7.95 Mg/m³. For the energy above the lowest structure with this stoichiometry, the calculation gives 0.000 eV per atom.

a = 6.536 Å, b = 6.536 Å, c = 4.207 Å
α = 90.00°, β = 90.00°, γ = 90.00°
Fractional positions:
Sc: 0.170 0.670 0.500
Sc: 0.670 0.830 0.500
Sc: 0.830 0.330 0.500
Sc: 0.330 0.170 0.500
Ge: 0.362 0.862 0.000
Ge: 0.862 0.638 0.000
Ge: 0.638 0.138 0.000
Ge: 0.138 0.362 0.000
Pt: 0.000 0.000 0.000
Pt: 0.500 0.500 0.000

---

# 2
Here is crystalline Ca3MnAs at its relaxed geometry from Alexandria via LeMat-Bulk. Energies are from GGA-PBE.

For the uncorrected energy, the calculation gives -20.3 eV for the cell shown. The value obtained for the energy of formation is -0.5 eV/f.u. Its theoretical density is 2.36 Mg/m³. For the energy above the lowest structure with this stoichiometry, the calculation gives 0.000 eV per atom.

a = 5.600 Å, b = 5.600 Å, c = 5.600 Å
α = 90.00°, β = 90.00°, γ = 90.00°
Each line ends with the local moment (μB).
Fractional positions:
As: 0.000 0.000 0.000  0.00
Mn: 0.500 0.500 0.500  4.26
Ca: 0.000 0.500 0.000  -0.02
Ca: 0.000 0.000 0.500  -0.02
Ca: 0.500 0.000 0.000  -0.06

---

# 3
Here is crystalline Zn2InI4 at its relaxed geometry from Alexandria via LeMat-Bulk. Energies are from GGA-PBE.

For the uncorrected energy, the calculation gives -28.1 eV for the cell shown. The calculation puts the uncorrected formation energy at -367 meV per atom. Its theoretical density is 4.12 Mg/m³.

a = 10.464 Å, b = 7.616 Å, c = 8.347 Å
α = 65.87°, β = 90.00°, γ = 90.00°
Fractional positions:
Zn: 0.250 0.179 0.211
Zn: 0.750 0.821 0.789
Zn: 0.250 0.154 0.747
Zn: 0.750 0.846 0.253
In: 0.250 0.805 0.040
In: 0.750 0.195 0.960
I: 0.250 0.440 0.881
I: 0.750 0.560 0.119
I: 0.054 0.943 0.269
I: 0.946 0.057 0.731
I: 0.554 0.057 0.731
I: 0.446 0.943 0.269
I: 0.250 0.392 0.396
I: 0.750 0.608 0.604

---

# 4
Here is crystalline ZrPbC2 at its relaxed geometry from Alexandria via LeMat-Bulk. Energies are from GGA-PBE.

For the uncorrected energy, the calculation gives -55.6 eV for the cell shown. The value obtained for the energy of formation is 2.9 eV/f.u. Its theoretical density is 7.43 Mg/m³.

a = 5.254 Å, b = 5.254 Å, c = 6.408 Å
α = 65.80°, β = 65.80°, γ = 90.00°
Fractional positions:
Pb: 0.000 0.000 0.000
Pb: 0.750 0.250 0.500
C: 0.605 0.125 0.250
C: 0.145 0.625 0.250
C: 0.375 0.395 0.750
C: 0.875 0.855 0.750
Zr: 0.500 0.500 0.000
Zr: 0.250 0.750 0.500

---

# 5
Here is crystalline Be3GaC at its relaxed geometry from Alexandria via LeMat-Bulk. Energies are from GGA-PBE.

For the uncorrected energy, the calculation gives -13.7 eV for the cell shown. The value obtained for the energy of formation is 9.8 eV/f.u. Its theoretical density is 2.56 Mg/m³. For the energy above the lowest structure with this stoichiometry, the calculation gives 1.592 eV per atom.

a = 4.131 Å, b = 4.131 Å, c = 4.131 Å
α = 90.00°, β = 90.00°, γ = 90.00°
Fractional positions:
Be: 0.000 0.500 0.000
Be: 0.000 0.000 0.500
Be: 0.500 0.000 0.000
C: 0.500 0.500 0.500
Ga: 0.000 0.000 0.000

---

# 6
Here is crystalline Ti2NbPdN at its relaxed geometry from Alexandria via LeMat-Bulk. Energies are from GGA-PBE.

For the uncorrected energy, the calculation gives -43.6 eV for the cell shown. The calculation puts the uncorrected formation energy at -842 meV per atom. Its theoretical density is 7.12 Mg/m³.

a = 4.109 Å, b = 4.109 Å, c = 4.269 Å
α = 90.00°, β = 90.00°, γ = 90.00°
Each line ends with the local moment (μB).
Fractional positions:
Nb: 0.000 0.000 0.500  0.12
N: 0.000 0.000 0.000  -0.01
Pd: 0.500 0.500 0.500  0.04
Ti: 0.000 0.500 0.000  0.19
Ti: 0.500 0.000 0.000  0.19

---

# 7
Here is crystalline MgZnSe2 at its relaxed geometry from Alexandria via LeMat-Bulk. Energies are from GGA-PBE.

For the uncorrected energy, the calculation gives -106.0 eV for the cell shown. The calculation puts the uncorrected formation energy at -854 meV per atom. Its theoretical density is 4.34 Mg/m³.

a = 16.240 Å, b = 7.840 Å, c = 7.840 Å
α = 79.01°, β = 113.78°, γ = 66.22°
Fractional positions:
Zn: 0.355 0.660 0.078
Zn: 0.145 0.578 0.160
Zn: 0.645 0.340 0.922
Zn: 0.855 0.422 0.840
Zn: 0.366 0.138 0.178
Zn: 0.134 0.678 0.638
Zn: 0.634 0.862 0.822
Zn: 0.866 0.322 0.362
Mg: 0.121 0.126 0.101
Mg: 0.379 0.601 0.626
Mg: 0.879 0.874 0.899
Mg: 0.621 0.399 0.374
Mg: 0.396 0.022 0.769
Mg: 0.104 0.269 0.522
Mg: 0.604 0.978 0.231
Mg: 0.896 0.731 0.478
Se: 0.017 0.784 0.785
Se: 0.483 0.285 0.284
Se: 0.983 0.216 0.215
Se: 0.517 0.715 0.716
Se: 0.758 0.168 0.296
Se: 0.742 0.796 0.668
Se: 0.242 0.832 0.704
Se: 0.258 0.204 0.332
Se: 0.481 0.802 0.175
Se: 0.019 0.675 0.302
Se: 0.519 0.198 0.825
Se: 0.981 0.325 0.698
Se: 0.750 0.261 0.761
Se: 0.250 0.739 0.239
Se: 0.750 0.701 0.201
Se: 0.250 0.299 0.799

---

# 8
Here is crystalline NaTl2TcO4 at its relaxed geometry from Alexandria via LeMat-Bulk. Energies are from GGA-PBE.

For the uncorrected energy, the calculation gives -88.5 eV for the cell shown. The calculation puts the uncorrected formation energy at -1002 meV per atom. Its theoretical density is 5.59 Mg/m³.

a = 6.030 Å, b = 6.616 Å, c = 10.385 Å
α = 82.40°, β = 73.12°, γ = 62.89°
Each line ends with the local moment (μB).
Fractional positions:
Na: 0.750 0.500 0.500  0.00
Na: 0.000 0.000 0.000  0.00
Tl: 0.183 0.000 0.634  0.01
Tl: 0.817 0.000 0.366  0.01
Tl: 0.567 0.500 0.866  0.01
Tl: 0.933 0.500 0.134  0.01
Tc: 0.250 0.500 0.500  0.24
Tc: 0.500 0.000 0.000  0.24
O: 0.367 0.801 0.075  0.01
O: 0.244 0.199 0.925  0.01
O: 0.832 0.801 0.925  0.01
O: 0.557 0.199 0.075  0.01
O: 0.383 0.699 0.425  0.01
O: 0.506 0.301 0.575  0.01
O: 0.918 0.699 0.575  0.01
O: 0.193 0.301 0.425  0.01

---

# 9
Here is crystalline LaSmZnSi at its relaxed geometry from Alexandria via LeMat-Bulk. Energies are from GGA-PBE.

For the uncorrected energy, the calculation gives -18.1 eV for the cell shown. The calculation puts the uncorrected formation energy at -449 meV per atom. Its theoretical density is 6.48 Mg/m³.

a = 5.177 Å, b = 5.177 Å, c = 5.177 Å
α = 60.00°, β = 60.00°, γ = 60.00°
Fractional positions:
Zn: 0.750 0.750 0.750
Si: 0.250 0.250 0.250
Sm: 0.000 0.000 0.000
La: 0.500 0.500 0.500

---

# 10
Here is crystalline TiGeI3 at its relaxed geometry from Alexandria via LeMat-Bulk. Energies are from GGA-PBE.

For the uncorrected energy, the calculation gives -14.1 eV for the cell shown. The calculation puts the uncorrected formation energy at 603 meV per atom. Its theoretical density is 4.37 Mg/m³. For the energy above the lowest structure with this stoichiometry, the calculation gives 0.527 eV per atom.

a = 5.752 Å, b = 5.752 Å, c = 5.752 Å
α = 90.00°, β = 90.00°, γ = 90.00°
Each line ends with the local moment (μB).
Fractional positions:
I: 0.000 0.500 0.000  0.01
I: 0.000 0.000 0.500  0.01
I: 0.500 0.000 0.000  0.00
Ge: 0.000 0.000 0.000  -0.02
Ti: 0.500 0.500 0.500  -0.18

---

# 11
Here is crystalline AgPdPt at its relaxed geometry from Alexandria via LeMat-Bulk. Energies are from GGA-PBE.

For the uncorrected energy, the calculation gives -28.2 eV for the cell shown. The value obtained for the energy of formation is 0.0 eV/f.u. Its theoretical density is 14.00 Mg/m³. For the energy above the lowest structure with this stoichiometry, the calculation gives 0.012 eV per atom.

a = 3.960 Å, b = 4.842 Å, c = 5.795 Å
α = 105.17°, β = 89.94°, γ = 65.82°
Fractional positions:
Ag: 0.666 0.168 0.420
Ag: 0.334 0.832 0.580
Pd: 0.998 0.504 0.760
Pd: 0.002 0.496 0.240
Pt: 0.664 0.171 0.927
Pt: 0.336 0.829 0.073

---

# 12
Here is crystalline SrLi at its relaxed geometry from Alexandria via LeMat-Bulk. Energies are from GGA-PBE.

For the uncorrected energy, the calculation gives -6.8 eV for the cell shown. The value obtained for the energy of formation is 0.2 eV/f.u. Its theoretical density is 2.02 Mg/m³. For the energy above the lowest structure with this stoichiometry, the calculation gives 0.075 eV per atom.

a = 7.012 Å, b = 7.012 Å, c = 7.012 Å
α = 137.55°, β = 137.55°, γ = 61.59°
Fractional positions:
Li: 0.000 0.000 0.000
Li: 0.250 0.750 0.500
Sr: 0.500 0.500 0.000
Sr: 0.750 0.250 0.500